Entry 1:
Entry from OQMD: a geometry-optimized LaCd structure (PBE).

Cell: 3.913 3.913 3.913 Å, 90.00 90.00 90.00°
Last column: magnetic moment on the atom in μB.
Fractional positions:
1 Cd 0.000 0.000 0.000  0.01
2 La 0.500 0.500 0.500  0.12

Summary:
Calculated volume: 29.95 Å³/atom
Formation enthalpy at 0 K: -342 meV per atom



Entry 2:
Entry from OQMD: a geometry-optimized LaCd11 structure (PBE).

Cell: 9.372 9.372 9.372 Å, 90.00 90.00 90.00°
Fractional positions:
1 Cd 0.266 0.500 0.266
2 Cd 0.734 0.734 0.500
3 Cd 0.157 0.157 0.843
4 Cd 0.843 0.843 0.157
5 Cd 0.000 0.345 0.345
6 Cd 0.000 0.655 0.345
7 La 0.500 0.000 0.000
8 Cd 0.345 0.000 0.655
9 Cd 0.734 0.500 0.266
10 Cd 0.500 0.500 0.500
11 Cd 0.266 0.266 0.500
12 Cd 0.734 0.266 0.500
13 Cd 0.655 0.655 0.000
14 Cd 0.000 0.655 0.655
15 Cd 0.345 0.345 0.000
16 Cd 0.157 0.843 0.157
17 Cd 0.345 0.000 0.345
18 Cd 0.655 0.000 0.655
19 Cd 0.157 0.843 0.843
20 Cd 0.500 0.266 0.266
21 La 0.000 0.000 0.500
22 Cd 0.266 0.734 0.500
23 Cd 0.345 0.655 0.000
24 Cd 0.500 0.734 0.734
25 Cd 0.655 0.000 0.345
26 Cd 0.843 0.157 0.843
27 Cd 0.843 0.157 0.157
28 Cd 0.000 0.345 0.655
29 Cd 0.500 0.734 0.266
30 Cd 0.157 0.157 0.157
31 La 0.000 0.500 0.000
32 Cd 0.500 0.266 0.734
33 Cd 0.734 0.500 0.734
34 Cd 0.655 0.345 0.000
35 Cd 0.843 0.843 0.843
36 Cd 0.266 0.500 0.734

Summary:
Calculated volume: 22.87 Å³/atom
Formation enthalpy at 0 K: -184 meV per atom



Entry 3:
Entry from OQMD: a geometry-optimized La2Cd structure (PBE).

Cell: 5.544 5.544 3.239 Å, 90.00 90.00 120.00°
Fractional positions:
1 La 0.333 0.667 0.500
2 Cd 0.000 0.000 0.000
3 La 0.667 0.333 0.500

Summary:
Calculated volume: 28.74 Å³/atom
Formation enthalpy at 0 K: -96 meV per atom



Entry 4:
Entry from OQMD: a geometry-optimized La2Cd structure (PBE).

Cell: 6.490 6.490 6.490 Å, 60.00 60.00 60.00°
Fractional positions:
1 La 0.625 0.625 0.625
2 La 0.625 0.625 0.125
3 Cd 0.000 0.000 0.000
4 La 0.125 0.625 0.625
5 Cd 0.250 0.250 0.250
6 La 0.625 0.125 0.625

Summary:
Calculated volume: 32.21 Å³/atom
Formation enthalpy at 0 K: 193 meV per atom



Entry 5:
Entry from OQMD: a geometry-optimized La2Cd structure (PBE).

Cell: 5.033 5.033 3.976 Å, 90.00 90.00 120.00°
Fractional positions:
1 La 0.667 0.333 0.660
2 La 0.333 0.667 0.340
3 Cd 0.000 0.000 0.000

Summary:
Calculated volume: 29.08 Å³/atom
Formation enthalpy at 0 K: -119 meV per atom



Entry 6:
Entry from OQMD: a geometry-optimized LaCd structure (PBE).

Cell: 4.598 4.598 4.598 Å, 60.00 60.00 60.00°
Last column: magnetic moment on the atom in μB.
Fractional positions:
1 Cd 0.000 0.000 0.000  0.09
2 La 0.500 0.500 0.500  0.37

Summary:
Calculated volume: 34.37 Å³/atom
Formation enthalpy at 0 K: 17 meV per atom



Entry 7:
Entry from OQMD: a geometry-optimized Li2LaCdSn2Pd2 structure (PBE).

Cell: 4.782 4.782 6.946 Å, 90.00 90.00 90.00°
Fractional positions:
1 Pd 0.000 0.500 0.735
2 Cd 0.000 0.000 0.500
3 Sn 0.000 0.000 0.000
4 Li 0.500 0.000 0.708
5 La 0.500 0.500 0.000
6 Sn 0.500 0.500 0.500
7 Pd 0.500 0.000 0.265
8 Li 0.000 0.500 0.292

Summary:
VASP energy: -32.554 eV per formula unit
Calculated volume: 19.86 Å³/atom



Entry 8:
Entry from OQMD: a geometry-optimized LiLaCdTe3 structure (PBE).

Cell: 12.984 4.532 13.170 Å, 90.00 90.00 90.00°
Fractional positions:
1 Cd 0.214 0.000 0.739
2 Te 0.654 0.000 0.287
3 Li 0.498 0.000 0.616
4 Te 0.346 0.500 0.713
5 Te 0.568 0.500 0.913
6 Te 0.367 0.000 0.440
7 Li 0.002 0.000 0.116
8 Te 0.867 0.500 0.060
9 Cd 0.786 0.500 0.261
10 Te 0.932 0.500 0.413
11 Li 0.502 0.500 0.384
12 Li 0.998 0.500 0.884
13 La 0.817 0.000 0.538
14 Te 0.068 0.000 0.587
15 Cd 0.714 0.500 0.761
16 La 0.683 0.000 0.038
17 La 0.183 0.500 0.462
18 Te 0.633 0.500 0.560
19 Te 0.846 0.000 0.787
20 Te 0.154 0.500 0.213
21 Te 0.432 0.000 0.087
22 La 0.317 0.500 0.962
23 Te 0.133 0.000 0.940
24 Cd 0.286 0.000 0.239

Summary:
Calculated volume: 32.29 Å³/atom
Energy above the lowest structure with this stoichiometry: 0 meV/atom



Entry 9:
Entry from OQMD: a geometry-optimized LiLaCdTe3 structure (PBE).

Cell: 7.567 7.567 12.048 Å, 90.00 90.00 145.75°
Fractional positions:
1 Te 0.851 0.149 0.926
2 Cd 0.980 0.020 0.750
3 Li 0.711 0.289 0.250
4 Te 0.397 0.603 0.250
5 La 0.500 0.500 0.000
6 La 0.500 0.500 0.500
7 Li 0.289 0.711 0.750
8 Te 0.149 0.851 0.426
9 Cd 0.020 0.980 0.250
10 Te 0.603 0.397 0.750
11 Te 0.149 0.851 0.074
12 Te 0.851 0.149 0.574

Summary:
Calculated volume: 32.36 Å³/atom
Energy above the lowest structure with this stoichiometry: 9 meV/atom



Entry 10:
Entry from OQMD: a geometry-optimized LaLuCd structure (PBE).

Cell: 5.179 5.179 5.179 Å, 60.00 60.00 60.00°
Fractional positions:
1 Lu 0.750 0.750 0.750
2 La 0.000 0.000 0.000
3 Cd 0.250 0.250 0.250

Summary:
Calculated volume: 32.75 Å³/atom
Energy above the lowest structure with this stoichiometry: 388 meV/atom
Formation enthalpy at 0 K: 466 meV per atom



Entry 11:
Entry from OQMD: a geometry-optimized LaLuCd6 structure (PBE).

Cell: 4.873 6.491 6.491 Å, 67.76 90.00 90.00°
Fractional positions:
1 Cd 0.500 0.329 0.329
2 Cd 0.000 0.617 0.190
3 Cd 0.000 0.678 0.678
4 Cd 0.000 0.190 0.617
5 Cd 0.500 0.804 0.386
6 Cd 0.500 0.386 0.804
7 La 0.000 0.132 0.132
8 Lu 0.500 0.864 0.864

Summary:
Calculated volume: 23.75 Å³/atom
Formation enthalpy at 0 K: -259 meV per atom



Entry 12:
Entry from OQMD: a geometry-optimized LaLuCd structure (PBE).

Cell: 5.208 5.208 5.208 Å, 60.00 60.00 60.00°
Fractional positions:
1 Lu 0.750 0.750 0.750
2 Cd 0.000 0.000 0.000
3 La 0.250 0.250 0.250

Summary:
Calculated volume: 33.30 Å³/atom
Energy above the lowest structure with this stoichiometry: 0 meV/atom
Formation enthalpy at 0 K: 78 meV per atom



> Which value of calculated volume does entry 4 give?

32.21 Å³/atom



> Which of these has the highest calculated volume?

number 6



> Look up the calculated volume of the fifth one.

29.08 Å³/atom